Entry 1:
## CrFe6B2 (PBE)

Data for CrFe6B2 after structural relaxation.

Unit cell a=6.721 b=6.872 c=7.626 alpha=90.00 beta=90.00 gamma=90.00
Space group Immm (No. 71)
Unique sites:
Cr 0.000 0.000 0.000 [2 per cell]
Cr 0.000 0.000 0.500 [2 per cell]
Fe 0.000 0.207 0.245 [8 per cell]
Fe 0.201 0.500 0.179 [8 per cell]
Fe 0.208 0.307 0.500 [8 per cell]
B 0.000 0.352 0.000 [4 per cell]
B 0.000 0.500 0.383 [4 per cell]

ΔH_f (0 K)	-0.141	eV/atom
Fermi-level density of states	0.72	states/eV per atom
total energy	-8.336	eV per atom
V	352.2	Å³ per cell

***

Entry 2:
## RbLi2AsRh (PBE)

Data for RbLi2AsRh after structural relaxation.

Unit cell a=5.085 b=5.085 c=4.647 alpha=90.00 beta=90.00 gamma=90.00
Space group P4/mmm (No. 123)
Unique sites:
Rb 0.000 0.000 0.000 [1 per cell]
Li 0.000 0.500 0.500 [2 per cell]
As 0.500 0.500 0.000 [1 per cell]
Rh 0.500 0.500 0.500 [1 per cell]

ΔH_f (0 K)	-0.301	eV/atom
Fermi-level density of states	0.29	states/eV per atom
total energy	-3.660	eV per atom
V	120.2	Å³ per cell

***

Question: Which of these has the lowest ΔH_f (0 K)?
Answer: RbLi2AsRh

***

Question: Which of these has the highest ΔH_f (0 K)?
Answer: CrFe6B2

***

Question: What is the formula in the second record?
Answer: RbLi2AsRh